Material: Mg8HgPt2
Method: DFT, PBE
State: relaxed

POSCAR file:
```
Mg8HgPt2
1.0
4.036 -5.926 0.000
4.036 5.926 0.000
-1.204 0.000 4.884
Mg Hg Pt
8 1 2
direct
0.062 0.325 0.584
0.248 0.752 0.000
0.325 0.062 0.584
0.378 0.378 0.193
0.622 0.622 0.807
0.675 0.938 0.416
0.752 0.248 0.000
0.938 0.675 0.416
0.000 0.000 0.000
0.318 0.682 0.500
0.682 0.318 0.500
```

Output
Crystal system: monoclinic
Energy above the lowest structure with this stoichiometry (kJ/mol of formula units): 40
Formation energy from the elements (eV per atom): -0.436
M_tot (μB/cell): 0.000
Density (g/cm³): 5.6
Final energy (eV/atom): -2.7211